(1)
Li3FeSiO5: relaxed, PBE with a Hubbard U.

abc: 5.0134 5.5611 6.6680
angles: 78.02 74.02 73.89
Each line ends with the local moment (μB).
Sites, in units of the cell vectors:
Fe 0.9083 0.3431 0.2128  3.02
Fe 0.0917 0.6569 0.7872  3.02
Li 0.5023 0.7605 0.9976  0.00
Li 0.6854 0.5539 0.6032  0.00
Li 0.3146 0.4461 0.3968  0.00
Li 0.4977 0.2395 0.0024  0.00
Li 0.6885 0.0523 0.6027  0.00
Li 0.3115 0.9477 0.3973  0.00
O 0.3472 0.3374 0.7185  -0.04
O 0.1612 0.0341 0.1216  -0.04
O 0.8368 0.4240 0.8839  0.01
O 0.3507 0.8799 0.7152  -0.04
O 0.1632 0.5760 0.1161  0.01
O 0.9953 0.7540 0.4822  0.05
O 0.0047 0.2460 0.5178  0.05
O 0.6528 0.6626 0.2815  -0.04
O 0.6493 0.1201 0.2848  -0.04
O 0.8388 0.9659 0.8784  -0.04
Si 0.9170 0.8367 0.2424  0.01
Si 0.0830 0.1633 0.7576  0.01

Total magnetization   3.0 μB/f.u.
SG   P-1
E   -6.2133 eV/atom

=====

(2)
Li2FeSi3O8: relaxed, PBE with a Hubbard U.

abc: 5.0905 6.2443 6.2860
angles: 76.24 71.90 75.04
Each line ends with the local moment (μB).
Sites, in units of the cell vectors:
O 0.3811 0.2894 0.2953  0.00
O 0.7086 0.5470 0.9880  0.00
O 0.4870 0.9413 0.1063  0.00
O 0.5681 0.8845 0.6689  0.03
O 0.6476 0.5449 0.4265  0.03
O 0.9388 0.1725 0.2421  0.00
O 0.2970 0.3245 0.8627  0.03
O 0.0141 0.8710 0.8219  0.03
Si 0.7018 0.8196 0.8836  0.01
Si 0.6686 0.3968 0.2449  0.00
Si 0.2756 0.1909 0.1162  0.00
Fe 0.3504 0.6303 0.7088  3.76
Li 0.7345 0.8599 0.3513  0.00
Li 0.2269 0.1260 0.6849  0.00

Relative energy among the computed polymorphs   16 meV per atom
Total magnetization   4.0 μB/f.u.
SG   P1

=====

(3)
Li2FeSiO4: relaxed, PBE with a Hubbard U.

abc: 6.3311 5.1408 10.9667
angles: 90.00 88.11 90.00
Each line ends with the local moment (μB).
Sites, in units of the cell vectors:
Li 0.2197 0.2067 0.0738  0.00
Li 0.9937 0.6932 0.6674  0.00
Li 0.2197 0.2933 0.5738  0.00
Li 0.7803 0.7067 0.4262  0.00
Li 0.0063 0.1932 0.8326  0.00
Li 0.7803 0.7933 0.9262  0.00
Li 0.9937 0.8068 0.1674  0.00
Li 0.0063 0.3068 0.3326  0.00
Fe 0.5072 0.1986 0.8429  3.74
Fe 0.4928 0.8014 0.1571  3.74
Fe 0.5072 0.3014 0.3429  3.74
Fe 0.4928 0.6986 0.6571  3.74
O 0.4814 0.7165 0.3402  0.05
O 0.9486 0.3074 0.6657  0.01
O 0.2457 0.1263 0.4124  0.03
O 0.0514 0.8074 0.8343  0.01
O 0.2480 0.8121 0.0498  0.04
O 0.7543 0.6263 0.0876  0.03
O 0.9486 0.1926 0.1657  0.01
O 0.0514 0.6926 0.3343  0.01
O 0.5187 0.2165 0.1598  0.05
O 0.7520 0.3121 0.4502  0.04
O 0.7520 0.1879 0.9502  0.04
O 0.5187 0.2835 0.6598  0.05
O 0.7543 0.8737 0.5876  0.03
O 0.2457 0.3737 0.9124  0.03
O 0.2480 0.6879 0.5498  0.04
O 0.4814 0.7835 0.8402  0.05
Si 0.7513 0.1959 0.5908  0.01
Si 0.2487 0.6959 0.9092  0.01
Si 0.7513 0.3041 0.0908  0.01
Si 0.2487 0.8041 0.4092  0.01

Relative energy among the computed polymorphs   21 meV per atom
Total magnetization   4.0 μB/f.u.
SG   P2_1/c

=====

(4)
LiFeSiO4: relaxed, PBE with a Hubbard U.

abc: 4.8050 5.8746 10.2028
angles: 90.00 90.00 90.00
Each line ends with the local moment (μB).
Sites, in units of the cell vectors:
O 0.7771 0.2500 0.3978  0.08
O 0.2827 0.4649 0.3290  0.14
O 0.7827 0.9649 0.1710  0.14
O 0.6862 0.7500 0.4439  0.10
O 0.7173 0.9649 0.6710  0.14
O 0.7229 0.2500 0.8978  0.08
O 0.1862 0.2500 0.0561  0.10
O 0.7173 0.5351 0.6710  0.14
O 0.2229 0.7500 0.6022  0.08
O 0.8138 0.7500 0.9439  0.10
O 0.2173 0.4649 0.8290  0.14
O 0.7827 0.5351 0.1710  0.14
O 0.3138 0.2500 0.5561  0.10
O 0.2827 0.0351 0.3290  0.14
O 0.2173 0.0351 0.8290  0.14
O 0.2771 0.7500 0.1022  0.08
Si 0.5599 0.7500 0.5931  0.01
Si 0.9401 0.7500 0.0931  0.01
Si 0.0599 0.2500 0.9069  0.01
Si 0.4401 0.2500 0.4069  0.01
Li 0.5000 0.0000 0.0000  0.00
Li 0.0000 0.0000 0.5000  0.00
Li 0.0000 0.5000 0.5000  0.00
Li 0.5000 0.5000 0.0000  0.00
Fe 0.5073 0.2500 0.7270  4.39
Fe 0.4927 0.7500 0.2730  4.39
Fe 0.9927 0.2500 0.2270  4.39
Fe 0.0073 0.7500 0.7730  4.39

Relative energy among the computed polymorphs   9 meV per atom
Total magnetization   5.0 μB/f.u.
SG   Pnma